Record 1
A plane-wave DFT calculation with PBE was carried out for DyHo2Tl2Zn2 after structural relaxation.

Summary:
The calculation puts the size of the total moment at 0.00 μB per formula unit.

POSCAR file:
```
DyHo2Tl2Zn2
1.0
2.3755 1.3715 8.9318
-2.3755 1.3715 8.9318
0.0000 -2.7429 8.9318
Dy Ho Tl Zn
1 2 2 2
Cartesian
0.0000 0.0000 0.0000
0.0000 0.0000 3.4508
0.0000 0.0000 23.3446
0.0000 0.0000 7.1468
0.0000 0.0000 19.6487
0.0000 0.0000 11.1114
0.0000 0.0000 15.6840
```

Record 2
A plane-wave DFT calculation with PBE was carried out for Dy4HoTm5 after structural relaxation.

Summary:
The polymorph energy (0 for the lowest one) is 253.6 meV per atom. The calculation puts the size of the total moment at 0.00 μB per formula unit.

POSCAR file:
```
Dy4HoTm5
1.0
-5.0488 5.0488 3.1040
5.0488 -5.0488 3.1040
5.0488 5.0488 -3.1040
Dy Ho Tm
4 1 5
Cartesian
3.4971 0.4841 0.0000
4.5647 -1.5517 3.1040
0.4841 6.6005 0.0000
1.5517 4.5647 3.1040
0.0000 0.0000 4.7751
0.0000 0.0000 1.4353
6.5120 2.7113 -0.0054
2.7113 3.5857 -0.0054
2.3376 1.4632 3.0987
-1.4632 2.3376 3.0987
```

Record 3
A plane-wave DFT calculation with PBE was carried out for Dy6Ho19Tm4 after structural relaxation.

Summary:
The calculation puts the size of the total moment at 0.00 μB per formula unit.

POSCAR file:
```
Dy6Ho19Tm4
1.0
-6.1618 6.1618 6.1618
6.1618 -6.1618 6.1618
6.1618 6.1618 -6.1618
Dy Ho Tm
6 19 4
Cartesian
6.1618 1.5759 0.0000
6.1618 0.0000 4.5859
4.5859 6.1618 0.0000
1.5759 0.0000 6.1618
0.0000 6.1618 1.5759
0.0000 4.5859 6.1618
0.0000 0.0000 0.0000
3.2119 0.0000 0.0000
9.1118 0.0000 0.0000
5.3760 2.9519 -2.7397
8.9015 -0.7858 3.2099
2.9519 -2.7397 5.3760
0.0000 3.2119 0.0000
0.0000 0.0000 3.2119
3.4221 0.7858 3.2099
3.2099 3.4221 0.7858
6.9476 2.9519 2.7397
0.7858 3.2099 3.4221
3.2099 8.9015 -0.7858
-2.7397 5.3760 2.9519
0.0000 9.1118 0.0000
0.0000 0.0000 9.1118
2.9519 2.7397 6.9476
2.7397 6.9476 2.9519
-0.7858 3.2099 8.9015
2.2010 2.2010 -2.2010
2.2010 -2.2010 2.2010
-2.2010 2.2010 2.2010
3.9608 3.9608 3.9608
```

Record 4
A plane-wave DFT calculation with PBE was carried out for Dy8Ho4Tm after structural relaxation.

Summary:
The calculation puts the size of the total moment at 0.00 μB per formula unit.

POSCAR file:
```
Dy8Ho4Tm
1.0
3.5996 2.0782 9.1436
-3.5996 2.0782 9.1436
0.0000 -4.1565 9.1436
Dy Ho Tm
8 4 1
Cartesian
-1.9783 -1.1422 15.5588
0.0000 0.0000 5.8821
0.0000 -2.2844 11.8719
-1.9783 1.1422 11.8719
1.9783 -1.1422 15.5588
0.0000 2.2844 15.5588
0.0000 0.0000 21.5486
1.9783 1.1422 11.8719
0.0000 0.0000 0.0000
-1.7998 -1.0391 9.1436
-1.7998 1.0391 18.2871
0.0000 2.0782 9.1436
0.0000 0.0000 13.7154
```

| no. | energy of formation from the pure elements (eV per atom) | total DFT energy (no corrections) (eV/cell) | V (Å³/cell) |
| --- | --- | --- | --- |
| 1 | -0.138 | -22.0 | 174.6 |
| 2 | 0.311 | -42.2 | 316.5 |
| 3 | 0.387 | -121.2 | 935.8 |
| 4 | 0.221 | -56.7 | 410.4 |